Entry 1:
PAu | GGA-PBEsol | optimized geometry

Lattice parameters (Å, degrees): 3.2431 5.5018 5.5018 59.15 72.86 72.86
Positions (direct):
P 0.7500 0.8640 0.6360
P 0.2500 0.1360 0.3640
Au 0.0000 0.5000 0.5000
Au 0.5000 0.0000 0.0000

Calculated values
The value obtained for the polymorph energy (0 for the lowest one) is 0 meV per atom. Its energy of formation from the pure elements is -1.53 kcal/mol of atoms. The calculation puts the total energy at -4.924 eV per atom. As for the size of the total moment: 0.0 μB per formula unit. The value obtained for the density of states at the Fermi level is 0.11 states/eV/f.u.

Entry 2:
PAu | GGA-PBEsol | optimized geometry

Lattice parameters (Å, degrees): 3.9426 3.9426 5.0229 113.11 113.11 90.00
Positions (direct):
Au 0.2500 0.7500 0.5000
Au 0.0000 0.0000 0.0000
P 0.7500 0.2500 0.5000
P 0.5000 0.5000 0.0000

Calculated values
The value obtained for the polymorph energy (0 for the lowest one) is 544 meV per atom. Its energy of formation from the pure elements is 11.01 kcal/mol of atoms. The calculation puts the total energy at -4.380 eV per atom. As for the size of the total moment: 0.0 μB per formula unit. The value obtained for the density of states at the Fermi level is 0.82 states/eV/f.u.